The following is a PBE calculation of a relaxed Dy5ErTl5 crystal, from the Alexandria database.

a = 17.157 Å, b = 5.748 Å, c = 7.044 Å
α = 90.00°, β = 109.67°, γ = 90.00°
Space group C2/m (No. 12)
Inequivalent atoms, fractional coordinates:
Dy  0.000  0.000  0.000 (multiplicity 2)
Dy  0.132  0.500  0.188 (multiplicity 4)
Dy  0.185  0.500  0.729 (multiplicity 4)
Er  0.000  0.000  0.500 (multiplicity 2)
Tl  0.000  0.500  0.500 (multiplicity 2)
Tl  0.161  0.000  0.895 (multiplicity 4)
Tl  0.168  0.000  0.439 (multiplicity 4)

energy relative to the elements = -96 meV per atom
total moment = 0.0 μB per formula unit
Fermi-level density of states = 20.8 states/eV/cell

=====

The following is a PBE calculation of a relaxed Dy5Er4Tl2 crystal, from the Alexandria database.

a = 22.594 Å, b = 3.544 Å, c = 9.184 Å
α = 90.00°, β = 107.01°, γ = 90.00°
Space group C2/m (No. 12)
Inequivalent atoms, fractional coordinates:
Dy  0.000  0.000  0.000 (multiplicity 2)
Dy  0.128  0.500  0.954 (multiplicity 4)
Dy  0.175  0.500  0.381 (multiplicity 4)
Er  0.015  0.500  0.321 (multiplicity 4)
Er  0.102  0.000  0.616 (multiplicity 4)
Tl  0.235  0.000  0.821 (multiplicity 4)

energy relative to the elements = 84 meV per atom
total moment = 0.0 μB per formula unit
Fermi-level density of states = 25.4 states/eV/cell

=====

The following is a PBE calculation of a relaxed Dy5Er3Tl crystal, from the Alexandria database.

a = 11.974 Å, b = 11.345 Å, c = 10.059 Å
α = 90.00°, β = 109.42°, γ = 90.00°
Space group C2/m (No. 12)
Inequivalent atoms, fractional coordinates:
Dy  0.000  0.233  0.000 (multiplicity 4)
Dy  0.180  0.240  0.786 (multiplicity 8)
Dy  0.239  0.000  0.059 (multiplicity 4)
Dy  0.248  0.000  0.408 (multiplicity 4)
Er  0.000  0.000  0.500 (multiplicity 2)
Er  0.000  0.500  0.000 (multiplicity 2)
Er  0.001  0.000  0.817 (multiplicity 4)
Er  0.004  0.500  0.671 (multiplicity 4)
Tl  0.231  0.500  0.268 (multiplicity 4)

energy relative to the elements = 393 meV per atom
total moment = 0.0 μB per formula unit
Fermi-level density of states = 56.4 states/eV/cell

=====

The following is a PBE calculation of a relaxed DyEr4Tl4 crystal, from the Alexandria database.

a = 9.439 Å, b = 9.439 Å, c = 5.802 Å
α = 90.00°, β = 90.00°, γ = 90.00°
Space group P4_2/n (No. 86, origin choice 2)
Inequivalent atoms, fractional coordinates:
Dy  0.250  0.250  0.250 (multiplicity 2)
Er  0.094  0.828  0.637 (multiplicity 8)
Tl  0.041  0.147  0.857 (multiplicity 8)

energy relative to the elements = -145 meV per atom
total moment = 0.0 μB per formula unit
Fermi-level density of states = 11.8 states/eV/cell

=====

The following is a PBE calculation of a relaxed Dy3Er4Tl2 crystal, from the Alexandria database.

a = 12.002 Å, b = 5.346 Å, c = 10.162 Å
α = 90.00°, β = 125.83°, γ = 90.00°
Space group C2/m (No. 12)
Inequivalent atoms, fractional coordinates:
Dy  0.000  0.000  0.000 (multiplicity 2)
Dy  0.145  0.500  0.679 (multiplicity 4)
Er  0.097  0.000  0.428 (multiplicity 4)
Er  0.232  0.500  0.081 (multiplicity 4)
Tl  0.088  0.500  0.256 (multiplicity 4)

energy relative to the elements = -156 meV per atom
total moment = 0.0 μB per formula unit
Fermi-level density of states = 19.0 states/eV/cell

=====

The following is a PBE calculation of a relaxed Dy7ErTl5 crystal, from the Alexandria database.

a = 6.531 Å, b = 10.827 Å, c = 10.825 Å
α = 90.00°, β = 90.00°, γ = 90.00°
Space group Imm2 (No. 44)
Inequivalent atoms, fractional coordinates:
Dy  0.000  0.000  0.000 (multiplicity 2)
Dy  0.000  0.000  0.323 (multiplicity 2)
Dy  0.000  0.311  0.118 (multiplicity 4)
Dy  0.000  0.339  0.634 (multiplicity 4)
Dy  0.000  0.500  0.360 (multiplicity 2)
Er  0.000  0.000  0.664 (multiplicity 2)
Tl  0.000  0.500  0.891 (multiplicity 2)
Tl  0.248  0.238  0.874 (multiplicity 8)

energy relative to the elements = -136 meV per atom
total moment = 0.0 μB per formula unit
Fermi-level density of states = 31.5 states/eV/cell

=====

The following is a PBE calculation of a relaxed Dy2ErTl4 crystal, from the Alexandria database.

a = 4.8624 Å, b = 4.8624 Å, c = 30.3628 Å
α = 90.00°, β = 90.00°, γ = 120.00°
Space group R-3m (No. 166, hexagonal axes)
Inequivalent atoms, fractional coordinates:
Dy  0.0000  0.0000  0.1289 (multiplicity 6)
Er  0.0000  0.0000  0.0000 (multiplicity 3)
Tl  0.0000  0.0000  0.2436 (multiplicity 6)
Tl  0.0000  0.0000  0.3812 (multiplicity 6)

energy relative to the elements = -60 meV per atom
total moment = 0.0 μB per formula unit
polymorph energy (0 for the lowest one) = 158 meV/atom
Fermi-level density of states = 14.8 states/eV/cell

=====

The following is a PBE calculation of a relaxed Dy4ErTl4 crystal, from the Alexandria database.

a = 9.374 Å, b = 9.374 Å, c = 5.921 Å
α = 90.00°, β = 90.00°, γ = 90.00°
Space group P4_2/n (No. 86, origin choice 2)
Inequivalent atoms, fractional coordinates:
Dy  0.089  0.826  0.129 (multiplicity 8)
Er  0.250  0.250  0.750 (multiplicity 2)
Tl  0.042  0.148  0.364 (multiplicity 8)

energy relative to the elements = -159 meV per atom
total moment = 0.0 μB per formula unit
Fermi-level density of states = 12.9 states/eV/cell

=====

The following is a PBE calculation of a relaxed Dy7Er3Tl crystal, from the Alexandria database.

a = 6.9369 Å, b = 6.9369 Å, c = 8.4692 Å
α = 90.00°, β = 90.00°, γ = 120.00°
Space group P3m1 (No. 156)
Inequivalent atoms, fractional coordinates:
Dy  0.0000  0.0000  0.0000 (multiplicity 1)
Dy  0.1634  0.3269  0.6638 (multiplicity 3)
Dy  0.5013  0.0026  0.9900 (multiplicity 3)
Er  0.3308  0.1654  0.3272 (multiplicity 3)
Tl  0.6667  0.3333  0.6584 (multiplicity 1)

energy relative to the elements = 151 meV per atom
total moment = 0.0 μB per formula unit
Fermi-level density of states = 15.8 states/eV/cell

=====

The following is a PBE calculation of a relaxed Dy9Er4Tl11 crystal, from the Alexandria database.

a = 16.143 Å, b = 22.908 Å, c = 3.578 Å
α = 90.00°, β = 90.00°, γ = 90.00°
Space group Cmmm (No. 65)
Inequivalent atoms, fractional coordinates:
Dy  0.000  0.000  0.000 (multiplicity 2)
Dy  0.111  0.407  0.000 (multiplicity 8)
Dy  0.114  0.228  0.000 (multiplicity 8)
Er  0.166  0.082  0.000 (multiplicity 8)
Tl  0.000  0.123  0.500 (multiplicity 4)
Tl  0.000  0.315  0.500 (multiplicity 4)
Tl  0.000  0.500  0.500 (multiplicity 2)
Tl  0.216  0.500  0.500 (multiplicity 4)
Tl  0.231  0.321  0.500 (multiplicity 8)

energy relative to the elements = -258 meV per atom
total moment = 0.0 μB per formula unit
Fermi-level density of states = 41.9 states/eV/cell

=====

The following is a PBE calculation of a relaxed DyEr2Tl4 crystal, from the Alexandria database.

a = 7.470 Å, b = 7.470 Å, c = 7.411 Å
α = 90.00°, β = 90.00°, γ = 90.00°
Space group I4/mmm (No. 139)
Inequivalent atoms, fractional coordinates:
Dy  0.000  0.000  0.000 (multiplicity 2)
Er  0.000  0.500  0.000 (multiplicity 4)
Tl  0.250  0.250  0.250 (multiplicity 8)

energy relative to the elements = -214 meV per atom
total moment = 0.0 μB per formula unit
polymorph energy (0 for the lowest one) = 0 meV/atom
Fermi-level density of states = 11.6 states/eV/cell

=====

The following is a PBE calculation of a relaxed DyEr5Tl crystal, from the Alexandria database.

a = 7.940 Å, b = 11.442 Å, c = 6.144 Å
α = 90.00°, β = 90.00°, γ = 90.00°
Space group Imm2 (No. 44)
Inequivalent atoms, fractional coordinates:
Dy  0.000  0.000  0.000 (multiplicity 2)
Er  0.000  0.252  0.386 (multiplicity 4)
Er  0.000  0.500  0.704 (multiplicity 2)
Er  0.185  0.000  0.497 (multiplicity 4)
Tl  0.000  0.500  0.230 (multiplicity 2)

energy relative to the elements = 743 meV per atom
total moment = 0.0 μB per formula unit
Fermi-level density of states = 16.4 states/eV/cell